Entry 1:
# CsRb2H5, relaxed, DFT PBE-GGA
# Volume in Å³/cell: 360.1
# Uncorrected energy in eV per atom: -1.97
# Fermi-level density of states in states/eV/f.u.: 4.962
data_CsRb2H5
_chemical_formula_sum 'Cs2 Rb4 H10'
_cell_length_a 7.1456
_cell_length_b 7.1456
_cell_length_c 7.0532
_cell_angle_alpha 90.00
_cell_angle_beta 90.00
_cell_angle_gamma 90.00
_symmetry_space_group_name_H-M 'I 4 m m'
_symmetry_Int_Tables_number 107
_symmetry_space_group_name_Hall 'I 4 -2'
loop_
_atom_site_label
_atom_site_fract_x
_atom_site_fract_y
_atom_site_fract_z
Cs1 0.0000 0.0000 0.0000
Rb1 0.0000 0.5000 0.0006
H1 0.0000 0.0000 0.5010
H2 0.2498 0.2498 0.2504


Entry 2:
# Sm5Rh2Pb, relaxed, DFT PBE-GGA
# Volume in Å³/cell: 873.0
# Formation energy in eV/atom: -0.594
# Fermi-level density of states in states/eV/f.u.: 8.853
data_Sm5Rh2Pb
_chemical_formula_sum 'Sm20 Rh8 Pb4'
_cell_length_a 7.9489
_cell_length_b 7.9489
_cell_length_c 13.8162
_cell_angle_alpha 90.00
_cell_angle_beta 90.00
_cell_angle_gamma 90.00
_symmetry_space_group_name_H-M 'I 4/m c m'
_symmetry_Int_Tables_number 140
_symmetry_space_group_name_Hall '-I 4 2c'
loop_
_atom_site_label
_atom_site_fract_x
_atom_site_fract_y
_atom_site_fract_z
Sm1 0.0000 0.0000 0.0000
Sm2 0.1588 0.3412 0.1343
Rh1 0.1396 0.3604 0.5000
Pb1 0.0000 0.0000 0.2500


Entry 3:
# CrAgPbBr2, relaxed, DFT PBE-GGA
# Volume in Å³/cell: 190.7
# Fermi-level density of states in states/eV/f.u.: 2.381
# E_form (uncorrected) in eV per atom: 0.517
data_CrAgPbBr2
_chemical_formula_sum 'Cr1 Ag1 Pb1 Br2'
_cell_length_a 5.8812
_cell_length_b 5.8812
_cell_length_c 5.5126
_cell_angle_alpha 90.00
_cell_angle_beta 90.00
_cell_angle_gamma 90.00
_symmetry_space_group_name_H-M 'P 4/m m m'
_symmetry_Int_Tables_number 123
_symmetry_space_group_name_Hall '-P 4 2'
loop_
_atom_site_label
_atom_site_fract_x
_atom_site_fract_y
_atom_site_fract_z
Cr1 0.0000 0.0000 0.0000
Ag1 0.5000 0.5000 0.0000
Pb1 0.0000 0.0000 0.5000
Br1 0.0000 0.5000 0.5000


Entry 4:
# Ce2Nd3SmSe6, relaxed, DFT PBE-GGA
# Volume in Å³/cell: 633.9
# Fermi-level density of states in states/eV/f.u.: 15.203
# E_form (uncorrected) in eV per atom: -1.836
data_Ce2Nd3SmSe6
_chemical_formula_sum 'Ce4 Nd6 Sm2 Se12'
_cell_length_a 7.2806
_cell_length_b 12.6273
_cell_length_c 7.3119
_cell_angle_alpha 90.00
_cell_angle_beta 109.44
_cell_angle_gamma 90.00
_symmetry_space_group_name_H-M 'C 1 2/m 1'
_symmetry_Int_Tables_number 12
_symmetry_space_group_name_Hall '-C 2y'
loop_
_atom_site_label
_atom_site_fract_x
_atom_site_fract_y
_atom_site_fract_z
Ce1 0.0000 0.1664 0.0000
Nd1 0.0000 0.0000 0.5000
Nd2 0.0000 0.3349 0.5000
Sm1 0.0000 0.5000 0.0000
Se1 0.2493 0.0000 0.2462
Se2 0.2487 0.3335 0.2471


Entry 5:
# Ce5Sb2Rh, relaxed, DFT PBE-GGA
# Offset from the most stable computed form in kJ/mol of atoms: 19.4
# Volume in Å³/cell: 884.5
# Fermi-level density of states in states/eV/f.u.: 25.480
# E_form (uncorrected) in eV per atom: -0.540
data_Ce5Sb2Rh
_chemical_formula_sum 'Ce20 Sb8 Rh4'
_cell_length_a 5.7750
_cell_length_b 9.1853
_cell_length_c 16.6748
_cell_angle_alpha 90.00
_cell_angle_beta 90.00
_cell_angle_gamma 90.00
_symmetry_space_group_name_H-M 'C m c m'
_symmetry_Int_Tables_number 63
_symmetry_space_group_name_Hall '-C 2c 2'
loop_
_atom_site_label
_atom_site_fract_x
_atom_site_fract_y
_atom_site_fract_z
Ce1 0.0000 0.0793 0.0979
Ce2 0.0000 0.2776 0.7500
Ce3 0.0000 0.3839 0.1227
Sb1 0.0000 0.2744 0.5628
Rh1 0.0000 0.0538 0.2500


Entry 6:
# RbCd2Au2, relaxed, DFT PBE-GGA
# Offset from the most stable computed form in kJ/mol of atoms: 3.4
# Volume in Å³/cell: 282.5
# Formation energy in eV/atom: -0.195
# Fermi-level density of states in states/eV/f.u.: 1.466
data_RbCd2Au2
_chemical_formula_sum 'Rb2 Cd4 Au4'
_cell_length_a 5.1499
_cell_length_b 5.1499
_cell_length_c 10.6526
_cell_angle_alpha 90.00
_cell_angle_beta 90.00
_cell_angle_gamma 90.00
_symmetry_space_group_name_H-M 'I 4/m m m'
_symmetry_Int_Tables_number 139
_symmetry_space_group_name_Hall '-I 4 2'
loop_
_atom_site_label
_atom_site_fract_x
_atom_site_fract_y
_atom_site_fract_z
Rb1 0.0000 0.0000 0.0000
Cd1 0.0000 0.0000 0.3632
Au1 0.0000 0.5000 0.2500


Entry 7:
# AcPmEr2, relaxed, DFT PBE-GGA
# Offset from the most stable computed form in kJ/mol of atoms: 0.6
# Volume in Å³/cell: 417.9
# Formation energy in eV/atom: 0.058
# Fermi-level density of states in states/eV/f.u.: 6.385
data_AcPmEr2
_chemical_formula_sum 'Ac3 Pm3 Er6'
_cell_length_a 3.7036
_cell_length_b 3.7036
_cell_length_c 35.1765
_cell_angle_alpha 90.00
_cell_angle_beta 90.00
_cell_angle_gamma 120.00
_symmetry_space_group_name_H-M 'R 3 m'
_symmetry_Int_Tables_number 160
_symmetry_space_group_name_Hall 'R 3 -2"'
loop_
_atom_site_label
_atom_site_fract_x
_atom_site_fract_y
_atom_site_fract_z
Ac1 0.0000 0.0000 0.0000
Pm1 0.0000 0.0000 0.1662
Er1 0.0000 0.0000 0.4186
Er2 0.0000 0.0000 0.5812


Entry 8:
# PrYPt, relaxed, DFT PBE-GGA
# Offset from the most stable computed form in kJ/mol of atoms: 22.4
# Volume in Å³/cell: 83.1
# Formation energy in eV/atom: -0.627
# Fermi-level density of states in states/eV/f.u.: 3.067
data_PrYPt
_chemical_formula_sum 'Pr1 Y1 Pt1'
_cell_length_a 4.6943
_cell_length_b 4.6943
_cell_length_c 4.3547
_cell_angle_alpha 90.00
_cell_angle_beta 90.00
_cell_angle_gamma 120.00
_symmetry_space_group_name_H-M 'P 3 m 1'
_symmetry_Int_Tables_number 156
_symmetry_space_group_name_Hall 'P 3 -2"'
loop_
_atom_site_label
_atom_site_fract_x
_atom_site_fract_y
_atom_site_fract_z
Pr1 0.0000 0.0000 0.0000
Y1 0.6667 0.3333 0.5181
Pt1 0.3333 0.6667 0.3268


Entry 9:
# SmTh2In, relaxed, DFT PBE-GGA
# Offset from the most stable computed form in kJ/mol of atoms: 17.0
# Volume in Å³/cell: 375.6
# Formation energy in eV/atom: -0.013
# Fermi-level density of states in states/eV/f.u.: 6.013
data_SmTh2In
_chemical_formula_sum 'Sm3 Th6 In3'
_cell_length_a 3.5348
_cell_length_b 3.5348
_cell_length_c 34.7077
_cell_angle_alpha 90.00
_cell_angle_beta 90.00
_cell_angle_gamma 120.00
_symmetry_space_group_name_H-M 'R 3 m'
_symmetry_Int_Tables_number 160
_symmetry_space_group_name_Hall 'R 3 -2"'
loop_
_atom_site_label
_atom_site_fract_x
_atom_site_fract_y
_atom_site_fract_z
Sm1 0.0000 0.0000 0.0000
Th1 0.0000 0.0000 0.4210
Th2 0.0000 0.0000 0.5806
In1 0.0000 0.0000 0.8344


Entry 10:
# Ca2CuPb2, relaxed, DFT PBE-GGA
# Offset from the most stable computed form in kJ/mol of atoms: 21.3
# Volume in Å³/cell: 299.6
# Formation energy in eV/atom: -0.054
# Fermi-level density of states in states/eV/f.u.: 4.177
data_Ca2CuPb2
_chemical_formula_sum 'Ca4 Cu2 Pb4'
_cell_length_a 7.7603
_cell_length_b 7.7603
_cell_length_c 4.9749
_cell_angle_alpha 90.00
_cell_angle_beta 90.00
_cell_angle_gamma 90.00
_symmetry_space_group_name_H-M 'P 4/m b m'
_symmetry_Int_Tables_number 127
_symmetry_space_group_name_Hall '-P 4 2ab'
loop_
_atom_site_label
_atom_site_fract_x
_atom_site_fract_y
_atom_site_fract_z
Ca1 0.1624 0.3376 0.0000
Cu1 0.0000 0.0000 0.0000
Pb1 0.1470 0.6470 0.5000


Entry 11:
# LiSn5Te7, relaxed, DFT PBE-GGA
# Volume in Å³/cell: 832.8
# Fermi-level density of states in states/eV/f.u.: 4.044
# E_form (uncorrected) in eV per atom: -0.309
data_LiSn5Te7
_chemical_formula_sum 'Li2 Sn10 Te14'
_cell_length_a 4.4683
_cell_length_b 25.5165
_cell_length_c 7.6335
_cell_angle_alpha 90.00
_cell_angle_beta 106.89
_cell_angle_gamma 90.00
_symmetry_space_group_name_H-M 'P 1 21 1'
_symmetry_Int_Tables_number 4
_symmetry_space_group_name_Hall 'P 2yb'
loop_
_atom_site_label
_atom_site_fract_x
_atom_site_fract_y
_atom_site_fract_z
Li1 0.1465 0.0000 0.2934
Sn1 0.0039 0.2751 0.0075
Sn2 0.2807 0.6991 0.5610
Sn3 0.2849 0.3543 0.5691
Sn4 0.4342 0.9299 0.8717
Sn5 0.4357 0.1227 0.8748
Te1 0.0877 0.8909 0.1729
Te2 0.0908 0.1654 0.1789
Te3 0.1915 0.5899 0.3834
Te4 0.1950 0.4646 0.3920
Te5 0.3578 0.8117 0.7140
Te6 0.3642 0.2430 0.7269
Te7 0.4565 0.5261 0.9143


Entry 12:
# Ce2BeGe3Ir4, relaxed, DFT PBE-GGA
# Volume in Å³/cell: 177.7
# Formation energy in eV/atom: -0.730
# Fermi-level density of states in states/eV/f.u.: 9.968
data_Ce2BeGe3Ir4
_chemical_formula_sum 'Ce2 Be1 Ge3 Ir4'
_cell_length_a 4.1775
_cell_length_b 4.1775
_cell_length_c 10.1849
_cell_angle_alpha 90.00
_cell_angle_beta 90.00
_cell_angle_gamma 90.00
_symmetry_space_group_name_H-M 'P -4 m 2'
_symmetry_Int_Tables_number 115
_symmetry_space_group_name_Hall 'P -4 -2'
loop_
_atom_site_label
_atom_site_fract_x
_atom_site_fract_y
_atom_site_fract_z
Ce1 0.0000 0.5000 0.2390
Be1 0.5000 0.5000 0.0000
Ge1 0.0000 0.0000 0.0000
Ge2 0.0000 0.5000 0.6340
Ir1 0.0000 0.0000 0.5000
Ir2 0.0000 0.5000 0.8746
Ir3 0.5000 0.5000 0.5000